An optimized crystal structure of RuPtBr2, computed with PBE-GGA.

Lattice parameters (Å, degrees): 8.3623 8.3623 8.3623 22.48 22.48 22.48
Last column: nearest neighbours and their distance in Å.
Element x y z (fractional)
Ru 0.0000 0.0000 0.0000  6 Br 2.59
Pt 0.5000 0.5000 0.5000  6 Br 2.97, 6 Pt 3.26
Br 0.2607 0.2607 0.2607  3 Ru 2.59
Br 0.7393 0.7393 0.7393  3 Ru 2.59

Calculated values
ΔE to the lowest computed polymorph   533 meV per atom
SG   R-3m (166)
E_form (uncorrected)   2.75 eV per formula unit
Crystal system   trigonal

***

An optimized crystal structure of NaZn8Ag3, computed with PBE-GGA.

Lattice parameters (Å, degrees): 9.0475 9.0475 9.0475 32.88 32.88 32.88
Last column: nearest neighbours and their distance in Å.
Element x y z (fractional)
Na 0.0000 0.0000 0.0000  12 Zn 3.00-3.07, 4 Ag 3.14-3.21
Zn 0.1871 0.1871 0.1871  6 Zn 2.57-2.58
Zn 0.4359 0.4359 0.9357  6 Zn 2.56-2.63
Zn 0.4359 0.9357 0.4359  6 Zn 2.56-2.63
Zn 0.4401 0.9370 0.9370  6 Zn 2.54-2.61
Zn 0.6874 0.6874 0.6874  6 Zn 2.61-2.63
Zn 0.9357 0.4359 0.4359  6 Zn 2.56-2.63
Zn 0.9370 0.4401 0.9370  6 Zn 2.54-2.61
Zn 0.9370 0.9370 0.4401  6 Zn 2.54-2.61
Ag 0.3748 0.3748 0.3748  12 Zn 3.00-3.09, 3 Na 3.14, 1 Ag 3.19
Ag 0.4993 0.4993 0.4993  12 Zn 3.00-3.03, 4 Ag 3.15-3.19
Ag 0.8748 0.8748 0.8748  12 Zn 3.00-3.03, 3 Ag 3.15, 1 Na 3.21

Calculated values
Energy of formation from the pure elements   -0.03 eV/atom
SG   R3m (160)
Crystal system   trigonal

***

An optimized crystal structure of SrPmNb2O8, computed with PBE-GGA.

Lattice parameters (Å, degrees): 6.9731 6.9731 6.9731 134.11 134.11 66.91
Last column: nearest neighbours and their distance in Å.
Element x y z (fractional)
Sr 0.0000 0.0000 0.0000  8 O 2.57
Pm 0.2500 0.7500 0.5000  8 O 2.46-2.47
Nb 0.5000 0.5000 0.0000  4 O 1.89
Nb 0.7500 0.2500 0.5000  4 O 1.89
O 0.0092 0.0939 0.4338  1 Nb 1.89
O 0.2537 0.6522 0.0885  1 Nb 1.89
O 0.3478 0.4363 0.6015  1 Nb 1.89
O 0.4247 0.9908 0.0847  1 Nb 1.89
O 0.5637 0.1652 0.9115  1 Nb 1.89
O 0.6600 0.5753 0.5662  1 Nb 1.89
O 0.8348 0.7463 0.3985  1 Nb 1.89
O 0.9061 0.3400 0.9153  1 Nb 1.89

Calculated values
SG   I-4 (82)
E_form (uncorrected)   -33.03 eV per formula unit
Crystal system   tetragonal

***

An optimized crystal structure of LaZr2Ni9, computed with PBE-GGA.

Lattice parameters (Å, degrees): 8.4951 8.4951 8.4951 33.84 33.84 33.84
Last column: nearest neighbours and their distance in Å.
Element x y z (fractional)
La 0.0000 0.0000 0.0000  6 Ni 2.86
Zr 0.1409 0.1409 0.1409  12 Ni 2.80-2.92, 3 Zr 3.11
Zr 0.8591 0.8591 0.8591  12 Ni 2.80-2.92, 3 Zr 3.11
Ni 0.0820 0.5888 0.5888  7 Ni 2.41-2.53
Ni 0.3334 0.3334 0.3334  6 Ni 2.51-2.53
Ni 0.4112 0.4112 0.9180  7 Ni 2.41-2.53
Ni 0.4112 0.9180 0.4112  7 Ni 2.41-2.53
Ni 0.5000 0.5000 0.5000  6 Ni 2.41
Ni 0.5888 0.0820 0.5888  7 Ni 2.41-2.53
Ni 0.5888 0.5888 0.0820  7 Ni 2.41-2.53
Ni 0.6666 0.6666 0.6666  6 Ni 2.51-2.53
Ni 0.9180 0.4112 0.4112  7 Ni 2.41-2.53

Calculated values
Energy of formation from the pure elements   -0.39 eV/atom
SG   R-3m (166)
Crystal system   trigonal

***

An optimized crystal structure of VSnB3, computed with PBE-GGA.

Lattice parameters (Å, degrees): 4.1346 4.1346 4.1346 90.00 90.00 90.00
Last column: nearest neighbours and their distance in Å.
Element x y z (fractional)
V 0.0000 0.0000 0.0000  6 B 2.07
Sn 0.5000 0.5000 0.5000  12 B 2.92
B 0.0000 0.0000 0.5000  2 V 2.07
B 0.0000 0.5000 0.0000  2 V 2.07
B 0.5000 0.0000 0.0000  2 V 2.07

Calculated values
Energy of formation from the pure elements   1.16 eV/atom
ΔE to the lowest computed polymorph   0 meV per atom
SG   Pm-3m (221)
Crystal system   cubic

***

An optimized crystal structure of KHg7Au2, computed with PBE-GGA.

Lattice parameters (Å, degrees): 7.9406 7.9406 5.4833 90.00 90.00 106.21
Last column: nearest neighbours and their distance in Å.
Element x y z (fractional)
K 0.0000 0.0000 0.0000  10 Hg 3.68-3.70
Hg 0.0855 0.3257 0.5000  2 Au 2.84-3.07, 1 Hg 3.05
Hg 0.2901 0.7099 0.0000  2 Au 2.74
Hg 0.3257 0.0855 0.5000  2 Au 2.84-3.07, 1 Hg 3.05
Hg 0.5000 0.5000 0.5000  2 Au 2.77
Hg 0.6743 0.9145 0.5000  2 Au 2.84-3.07, 1 Hg 3.05
Hg 0.7099 0.2901 0.0000  2 Au 2.74
Hg 0.9145 0.6743 0.5000  2 Au 2.84-3.07, 1 Hg 3.05
Au 0.2821 0.7179 0.5000  7 Hg 2.74-3.07
Au 0.7179 0.2821 0.5000  7 Hg 2.74-3.07

Calculated values
Energy of formation from the pure elements   -0.05 eV/atom
ΔE to the lowest computed polymorph   0 meV per atom
SG   Cmmm (65)
Crystal system   orthorhombic

***

An optimized crystal structure of Sm2Dy5Ho12, computed with PBE-GGA.

Lattice parameters (Å, degrees): 6.1278 9.3597 10.6111 100.97 95.47 90.18
Last column: nearest neighbours and their distance in Å.
Element x y z (fractional)
Sm 0.0789 0.3153 0.4735  2 Dy 3.54, 9 Ho 3.54-3.55, 1 Sm 3.55
Sm 0.9211 0.6847 0.5265  2 Dy 3.54, 9 Ho 3.54-3.55, 1 Sm 3.55
Dy 0.2376 0.9474 0.4207  8 Ho 3.53-3.55, 2 Dy 3.53-3.55, 2 Sm 3.54
Dy 0.3419 0.3683 0.0521  10 Ho 3.52-3.54, 2 Dy 3.53-3.54
Dy 0.5000 0.0000 0.0000  10 Ho 3.52-3.53, 2 Dy 3.54
Dy 0.6581 0.6317 0.9479  10 Ho 3.52-3.54, 2 Dy 3.53-3.54
Dy 0.7624 0.0526 0.5793  8 Ho 3.53-3.55, 2 Dy 3.53-3.55, 2 Sm 3.54
Ho 0.0264 0.1050 0.1568  7 Ho 3.51-3.54, 4 Dy 3.53-3.55, 1 Sm 3.54
Ho 0.1315 0.5261 0.7908  7 Ho 3.52-3.54, 3 Dy 3.52-3.54, 2 Sm 3.55
Ho 0.1847 0.7369 0.1048  7 Ho 3.52-3.54, 5 Dy 3.53-3.54
Ho 0.2891 0.1576 0.7378  5 Dy 3.52-3.54, 6 Ho 3.53-3.54, 1 Sm 3.55
Ho 0.3954 0.5792 0.3675  2 Dy 3.53-3.54, 7 Ho 3.53-3.56, 3 Sm 3.54-3.55
Ho 0.4474 0.7900 0.6852  4 Dy 3.52-3.55, 6 Ho 3.53-3.55, 2 Sm 3.54
Ho 0.5526 0.2100 0.3148  4 Dy 3.52-3.55, 6 Ho 3.53-3.55, 2 Sm 3.54
Ho 0.6046 0.4208 0.6325  2 Dy 3.53-3.54, 7 Ho 3.53-3.56, 3 Sm 3.54-3.55
Ho 0.7109 0.8424 0.2622  5 Dy 3.52-3.54, 6 Ho 3.53-3.54, 1 Sm 3.55
Ho 0.8153 0.2631 0.8952  7 Ho 3.52-3.54, 5 Dy 3.53-3.54
Ho 0.8685 0.4739 0.2092  7 Ho 3.52-3.54, 3 Dy 3.52-3.54, 2 Sm 3.55
Ho 0.9736 0.8950 0.8432  7 Ho 3.51-3.54, 4 Dy 3.53-3.55, 1 Sm 3.54

Calculated values
Energy of formation from the pure elements   0.02 eV/atom
ΔE to the lowest computed polymorph   0 meV per atom
SG   P-1 (2)
Crystal system   triclinic

***

An optimized crystal structure of La4YTh, computed with PBE-GGA.

Lattice parameters (Å, degrees): 8.4947 8.4947 3.4972 90.00 90.00 91.08
Last column: nearest neighbours and their distance in Å.
Element x y z (fractional)
La 0.2368 0.7632 0.0000  1 Th 3.19, 2 Y 3.36, 2 La 3.50
La 0.2641 0.2641 0.5000  1 Y 3.14, 2 Th 3.31, 2 La 3.50
La 0.7359 0.7359 0.5000  1 Y 3.14, 2 Th 3.31, 2 La 3.50
La 0.7632 0.2368 0.0000  1 Th 3.19, 2 Y 3.36, 2 La 3.50
Y 0.0000 0.0000 0.5000  6 La 3.14-3.36, 2 Y 3.50
Th 0.5000 0.5000 0.0000  6 La 3.19-3.31, 2 Th 3.50

Calculated values
Energy of formation from the pure elements   0.54 eV/atom
ΔE to the lowest computed polymorph   363 meV per atom
SG   Cmmm (65)
Crystal system   orthorhombic

***

An optimized crystal structure of Sr3PuO7, computed with PBE-GGA.

Lattice parameters (Å, degrees): 5.7723 5.7723 6.4955 112.53 112.53 87.73
Last column: nearest neighbours and their distance in Å.
Element x y z (fractional)
Sr 0.0000 0.0000 0.0000  3 O 2.35-2.52
Sr 0.2788 0.7264 0.5224  5 O 2.34-2.60
Sr 0.7264 0.2788 0.5224  5 O 2.34-2.60
Pu 0.4947 0.4947 0.0154  6 O 1.99-2.06
O 0.0133 0.0133 0.6475  3 Sr 2.34-2.35
O 0.1681 0.5378 0.7829  1 Pu 1.99
O 0.3478 0.3478 0.1869  1 Pu 2.05
O 0.4560 0.8290 0.2462  1 Pu 2.01
O 0.5378 0.1681 0.7829  1 Pu 1.99
O 0.6537 0.6537 0.8576  1 Pu 2.06
O 0.8290 0.4560 0.2462  1 Pu 2.01

Calculated values
SG   Cm (8)
E_form (uncorrected)   -28.06 eV per formula unit
Crystal system   monoclinic

***

An optimized crystal structure of LiTlPb2I6, computed with PBE-GGA.

Lattice parameters (Å, degrees): 8.8199 8.8199 8.8199 55.01 55.01 55.01
Last column: nearest neighbours and their distance in Å.
Element x y z (fractional)
Li 0.0000 0.0000 0.0000  6 I 3.00-3.14
Tl 0.5150 0.5150 0.5150  6 I 3.43-3.58
Pb 0.3265 0.3265 0.3265  6 I 3.22-3.30
Pb 0.8157 0.8157 0.8157  6 I 3.24-3.31
I 0.0855 0.3953 0.7503  1 Li 3.14, 2 Pb 3.24-3.30
I 0.1973 0.9447 0.6138  1 Li 3.00, 2 Pb 3.22-3.31
I 0.3953 0.7503 0.0855  1 Li 3.14, 2 Pb 3.24-3.30
I 0.6138 0.1973 0.9447  1 Li 3.00, 2 Pb 3.22-3.31
I 0.7503 0.0855 0.3953  1 Li 3.14, 2 Pb 3.24-3.30
I 0.9447 0.6138 0.1973  1 Li 3.00, 2 Pb 3.22-3.31

Calculated values
SG   R3 (146)
E_form (uncorrected)   -7.25 eV per formula unit
Crystal system   trigonal

***

An optimized crystal structure of AgAu, computed with PBE-GGA.

Lattice parameters (Å, degrees): 4.1493 4.1493 5.7199 90.00 90.00 120.00
Last column: nearest neighbours and their distance in Å.
Element x y z (fractional)
Ag 0.0000 0.0000 0.0000  6 Au 2.79, 2 Ag 2.86
Ag 0.0000 0.0000 0.5000  6 Au 2.79, 2 Ag 2.86
Au 0.3333 0.6667 0.2500  6 Ag 2.79
Au 0.6667 0.3333 0.7500  6 Ag 2.79

Calculated values
Energy of formation from the pure elements   0.27 eV/atom
SG   P6_3/mmc (194)
Crystal system   hexagonal

***

An optimized crystal structure of AcYCuSn, computed with PBE-GGA.

Lattice parameters (Å, degrees): 5.4150 5.4150 5.4150 60.00 60.00 60.00
Last column: nearest neighbours and their distance in Å.
Element x y z (fractional)
Ac 0.0000 0.0000 0.0000  4 Cu 3.32, 4 Sn 3.32
Y 0.5000 0.5000 0.5000  4 Sn 3.32, 4 Cu 3.32
Cu 0.7500 0.7500 0.7500  4 Ac 3.32, 4 Y 3.32
Sn 0.2500 0.2500 0.2500  4 Ac 3.32, 4 Y 3.32

Calculated values
Energy of formation from the pure elements   -0.35 eV/atom
SG   F-43m (216)
Crystal system   cubic

***

Respective Fermi-level density of states values: 3.847, 2.801, 8.213, 12.659, 2.139, 2.262, 25.536, 11.867, 2.075, 0.000, 1.919, 4.067 states/eV/cell.